DFT (GGA+U) results for crystalline SmEuZrCrO6 at its relaxed geometry.

The total magnetization comes out at 0.400 μB per atom. The final energy is -355.3 eV for the cell shown.

It has space group F-43m (No. 216), with a = 8.0540 Å, b = 8.0540 Å, c = 8.0540 Å, α = 90.00°, β = 90.00° and γ = 90.00°. The asymmetric unit holds Sm at (0.0000, 0.0000, 0.0000), Eu at (0.0000, 0.0000, 0.5000), Zr at (0.2500, 0.2500, 0.7500), Cr at (0.2500, 0.2500, 0.2500) and O at (0.0063, 0.2500, 0.2500).